Entry from Alexandria: K2Tl2Ir after structural relaxation (GGA-PBE).

Summary:
**E_form**: 0.20 eV/atom

a b c (Å): 7.310 7.310 6.054
angles (deg): 90.00 90.00 90.00
Positions (direct):
K (0.178, 0.322, 0.000)
K (0.322, 0.822, 0.000)
K (0.678, 0.178, 0.000)
K (0.822, 0.678, 0.000)
Tl (0.173, 0.673, 0.500)
Tl (0.327, 0.173, 0.500)
Tl (0.673, 0.827, 0.500)
Tl (0.827, 0.327, 0.500)
Ir (0.000, 0.000, 0.500)
Ir (0.500, 0.500, 0.500)



Entry from Alexandria: Rb3AlBr6 after structural relaxation (GGA-PBE).

Summary:
**Energy relative to the elements, uncorrected**: -1.4948 eV/atom

a b c (Å): 10.518 10.518 8.704
angles (deg): 90.00 90.00 96.20
Positions (direct):
Rb (0.061, 0.939, 0.500)
Rb (0.181, 0.400, 0.456)
Rb (0.400, 0.181, 0.956)
Rb (0.600, 0.819, 0.456)
Rb (0.819, 0.600, 0.956)
Rb (0.939, 0.061, 0.000)
Al (0.341, 0.659, 0.904)
Al (0.659, 0.341, 0.404)
Br (0.148, 0.188, 0.735)
Br (0.164, 0.564, 0.037)
Br (0.188, 0.148, 0.235)
Br (0.279, 0.721, 0.657)
Br (0.436, 0.836, 0.037)
Br (0.488, 0.512, 0.861)
Br (0.512, 0.488, 0.361)
Br (0.564, 0.164, 0.537)
Br (0.721, 0.279, 0.157)
Br (0.812, 0.852, 0.735)
Br (0.836, 0.436, 0.537)
Br (0.852, 0.812, 0.235)



Entry from Alexandria: BiSbTe2Pb after structural relaxation (GGA-PBE).

Summary:
**Energy relative to the elements, uncorrected**: 0.5073 eV/atom

a b c (Å): 5.980 5.980 5.804
angles (deg): 90.00 90.00 90.00
Positions (direct):
Bi (0.000, 0.000, 0.000)
Sb (0.000, 0.000, 0.500)
Te (0.000, 0.500, 0.000)
Te (0.500, 0.000, 0.000)
Pb (0.500, 0.500, 0.500)